Density functional theory data (PBE) for an optimized crystal structure of RbV2Hg.

Results
* ΔE_f: 1.21 eV/atom
* total energy: -3.667 eV/atom
* DOS at the Fermi energy: 5.31 states/eV/f.u.
* spin magnetization: 4.11 μB/cell

```
8
Lattice="4.558 0.000 0.000 0.000 4.558 0.000 2.279 2.279 10.629" Properties=species:S:1:pos:R:3 pbc="T T T"
V 4.557 3.418 2.657
Hg 0.000 0.000 0.000
Rb 2.279 2.279 0.000
V 3.418 2.278 7.972
V 4.558 1.139 2.657
V 5.697 2.279 7.972
Rb 2.279 4.558 5.315
Hg 4.558 2.279 5.315
```